(1)
Entry from the Alexandria database: a geometry-optimized Li5Nb2Co3O10 structure (PBE with a Hubbard U).

a = 5.196 Å, b = 5.319 Å, c = 7.880 Å
α = 102.28°, β = 108.76°, γ = 100.37°
Site moments in Bohr magnetons follow the coordinates.
Element x y z (fractional)
O1 0.596 0.786 0.456  0.00
O2 0.212 0.268 0.164  0.10
O3 0.978 0.242 0.753  0.07
O4 0.788 0.732 0.836  0.10
O5 0.404 0.214 0.544  0.00
O6 0.407 0.757 0.063  0.09
O7 0.593 0.243 0.937  0.09
O8 0.778 0.240 0.342  0.03
O9 0.222 0.760 0.658  0.03
O10 0.022 0.758 0.247  0.07
Co1 0.186 0.003 0.911  2.39
Co2 0.814 0.997 0.089  2.39
Co3 0.000 0.500 0.000  2.70
Li1 0.826 0.494 0.600  0.00
Li2 0.374 0.480 0.795  0.00
Li3 0.174 0.506 0.400  0.00
Li4 0.000 0.000 0.500  0.00
Li5 0.626 0.520 0.205  0.00
Nb1 0.400 0.018 0.290  -0.06
Nb2 0.600 0.982 0.710  -0.06

Calculated volume in Å³ per cell: 194
E_tot in eV/atom: -6.64
Space-group type: P-1, No. 2
Density in kg/m³: 4768

---

(2)
Entry from the Alexandria database: a geometry-optimized FeSn3F structure (PBE with a Hubbard U).

a = 4.898 Å, b = 4.898 Å, c = 4.898 Å
α = 90.00°, β = 90.00°, γ = 90.00°
Site moments in Bohr magnetons follow the coordinates.
Element x y z (fractional)
Sn1 0.000 0.000 0.500  -0.04
Sn2 0.000 0.500 0.000  -0.07
Sn3 0.500 0.000 0.000  -0.03
F1 0.000 0.000 0.000  -0.01
Fe1 0.500 0.500 0.500  3.64

Calculated volume in Å³ per cell: 117
E_tot in eV/atom: -3.78
Space-group type: Pm-3m, No. 221
Density in kg/m³: 6092